No. 1
## LiScCoSn (PBE-GGA)

Data for an optimized crystal structure of LiScCoSn. Values from VASP.

Output
Fermi-level density of states   5.001 states/eV/f.u.
E   -5.27 eV per atom
Total moment   0.285 μB/cell

Quantum ESPRESSO input file:
```
&SYSTEM
  ibrav = 0, nat = 4, ntyp = 4
/
ATOMIC_SPECIES
Sc 44.96 Sc.upf
Li 6.94 Li.upf
Co 58.93 Co.upf
Sn 118.71 Sn.upf
CELL_PARAMETERS angstrom
4.470 0.000 0.000
2.235 3.871 0.000
2.235 1.290 3.650
ATOMIC_POSITIONS crystal
Sc 0.750 0.750 0.750
Li 0.500 0.500 0.500
Co 0.000 0.000 0.000
Sn 0.250 0.250 0.250
```

No. 2
## LiTbScCo (PBE-GGA)

Data for an optimized crystal structure of LiTbScCo. Values from VASP.

Output
Fermi-level density of states   3.141 states/eV/f.u.
E   -5.09 eV per atom
Total moment   0.000 μB/cell

Quantum ESPRESSO input file:
```
&SYSTEM
  ibrav = 0, nat = 4, ntyp = 4
/
ATOMIC_SPECIES
Co 58.93 Co.upf
Tb 158.93 Tb.upf
Li 6.94 Li.upf
Sc 44.96 Sc.upf
CELL_PARAMETERS angstrom
4.719 0.000 0.000
2.359 4.086 0.000
2.359 1.362 3.853
ATOMIC_POSITIONS crystal
Co 0.500 0.500 0.500
Tb 0.750 0.750 0.750
Li 0.000 0.000 0.000
Sc 0.250 0.250 0.250
```

No. 3
## LiTmScCo (PBE-GGA)

Data for an optimized crystal structure of LiTmScCo. Values from VASP.

Output
Fermi-level density of states   2.931 states/eV/f.u.
E   -5.08 eV per atom
Total moment   0.000 μB/cell

Quantum ESPRESSO input file:
```
&SYSTEM
  ibrav = 0, nat = 4, ntyp = 4
/
ATOMIC_SPECIES
Co 58.93 Co.upf
Tm 168.93 Tm.upf
Sc 44.96 Sc.upf
Li 6.94 Li.upf
CELL_PARAMETERS angstrom
4.669 0.000 0.000
2.335 4.043 0.000
2.335 1.348 3.812
ATOMIC_POSITIONS crystal
Co 0.500 0.500 0.500
Tm 0.750 0.750 0.750
Sc 0.250 0.250 0.250
Li 0.000 0.000 0.000
```

No. 4
## LiScZnCo2 (PBE-GGA)

Data for an optimized crystal structure of LiScZnCo2. Values from VASP.

Output
Fermi-level density of states   2.963 states/eV/f.u.
E   -3.69 eV per atom
Total moment   0.001 μB/cell

Quantum ESPRESSO input file:
```
&SYSTEM
  ibrav = 0, nat = 5, ntyp = 4
/
ATOMIC_SPECIES
Zn 65.41 Zn.upf
Li 6.94 Li.upf
Co 58.93 Co.upf
Sc 44.96 Sc.upf
CELL_PARAMETERS angstrom
-1.368 -1.144 -3.959
-0.645 -4.328 1.474
-4.076 0.990 1.122
ATOMIC_POSITIONS crystal
Zn 0.500 0.500 0.500
Li 0.000 0.500 0.000
Co 0.000 0.000 0.500
Co 0.500 0.000 0.000
Sc 0.000 0.000 0.000
```

Which value of Fermi-level density of states does entry 1 give? 5.001 states/eV/f.u.

Look up the E of the first one. -5.27 eV per atom